[1]
Li2FePt | PBEsol | optimized geometry

Computed properties:
Magnetic moment in μB per atom: 0.586
ΔE_f in eV per formula unit: -0.321

a = 2.6398 Å, b = 2.6398 Å, c = 26.3969 Å
α = 90.00°, β = 90.00°, γ = 120.00°
Space group R-3m (No. 166, hexagonal axes)
Unique sites:
Li  0.0000  0.0000  0.2481 [6 per cell]
Fe  0.0000  0.0000  0.0000 [3 per cell]
Pt  0.0000  0.0000  0.5000 [3 per cell]


[2]
LiFe2Pt | PBEsol | optimized geometry

Computed properties:
Magnetic moment in μB per atom: 1.330
ΔE_f in eV per formula unit: -0.208

a = 2.7863 Å, b = 4.0247 Å, c = 4.3107 Å
α = 90.00°, β = 90.00°, γ = 90.00°
Space group Pmmm (No. 47)
Unique sites:
Li  0.0000  0.0000  0.0000 [1 per cell]
Fe  0.0000  0.5000  0.5000 [1 per cell]
Fe  0.5000  0.0000  0.5000 [1 per cell]
Pt  0.5000  0.5000  0.0000 [1 per cell]


[3]
LiFeSn2Pt | PBEsol | optimized geometry

Computed properties:
Magnetic moment in μB per atom: 0.502
ΔE_f in eV per formula unit: 3.367

a = 4.6402 Å, b = 4.6402 Å, c = 4.0398 Å
α = 90.00°, β = 90.00°, γ = 90.00°
Space group P4/mmm (No. 123)
Unique sites:
Li  0.0000  0.0000  0.0000 [1 per cell]
Fe  0.0000  0.0000  0.5000 [1 per cell]
Sn  0.0000  0.5000  0.0000 [2 per cell]
Pt  0.5000  0.5000  0.5000 [1 per cell]


[4]
LiFeRe2 | PBEsol | optimized geometry

Computed properties:
Magnetic moment in μB per atom: 0.312
ΔE_f in eV per formula unit: 1.121
ΔE to the lowest computed polymorph in kJ per mole of atoms: 0.0

a = 3.0020 Å, b = 4.1670 Å, c = 8.1894 Å
α = 90.00°, β = 90.00°, γ = 90.00°
Space group Immm (No. 71)
Unique sites:
Li  0.0000  0.0000  0.0000 [2 per cell]
Fe  0.0000  0.0000  0.5000 [2 per cell]
Re  0.0000  0.5000  0.2455 [4 per cell]


[5]
Li2FeRe | PBEsol | optimized geometry

Computed properties:
Magnetic moment in μB per atom: 0.593
ΔE_f in eV per formula unit: 1.390
ΔE to the lowest computed polymorph in kJ per mole of atoms: 2.1

a = 2.5942 Å, b = 2.5942 Å, c = 27.8136 Å
α = 90.00°, β = 90.00°, γ = 120.00°
Space group R-3m (No. 166, hexagonal axes)
Unique sites:
Li  0.0000  0.0000  0.2491 [6 per cell]
Fe  0.0000  0.0000  0.5000 [3 per cell]
Re  0.0000  0.0000  0.0000 [3 per cell]


[6]
Li2FeRe | PBEsol | optimized geometry

Computed properties:
Magnetic moment in μB per atom: 0.351
ΔE_f in eV per formula unit: 1.305
ΔE to the lowest computed polymorph in kJ per mole of atoms: 0.0

a = 8.3509 Å, b = 2.4739 Å, c = 5.0876 Å
α = 90.00°, β = 93.63°, γ = 90.00°
Space group Cm (No. 8)
Unique sites:
Li  0.0000  0.0000  0.0000 [2 per cell]
Li  0.2444  0.0000  0.7864 [2 per cell]
Fe  0.0020  0.5000  0.4800 [2 per cell]
Re  0.2511  0.5000  0.3088 [2 per cell]


[7]
LiFeRe2 | PBEsol | optimized geometry

Computed properties:
Magnetic moment in μB per atom: 0.476
ΔE_f in eV per formula unit: 1.291
ΔE to the lowest computed polymorph in kJ per mole of atoms: 4.1

a = 3.0312 Å, b = 3.0312 Å, c = 5.5016 Å
α = 90.00°, β = 90.00°, γ = 90.00°
Space group P4mm (No. 99)
Unique sites:
Li  0.0000  0.0000  0.0000 [1 per cell]
Fe  0.5000  0.5000  0.7911 [1 per cell]
Re  0.0000  0.0000  0.5160 [1 per cell]
Re  0.5000  0.5000  0.2478 [1 per cell]


[8]
LiFe2Rh | PBEsol | optimized geometry

Computed properties:
Magnetic moment in μB per atom: 1.054
ΔE_f in eV per formula unit: 0.546

a = 2.7923 Å, b = 3.9130 Å, c = 8.3378 Å
α = 90.00°, β = 90.00°, γ = 90.00°
Space group Immm (No. 71)
Unique sites:
Li  0.0000  0.0000  0.0000 [2 per cell]
Fe  0.0000  0.5000  0.2478 [4 per cell]
Rh  0.0000  0.0000  0.5000 [2 per cell]


[9]
LiFeRh2 | PBEsol | optimized geometry

Computed properties:
Magnetic moment in μB per atom: 0.850
ΔE_f in eV per formula unit: -0.135
ΔE to the lowest computed polymorph in kJ per mole of atoms: 1.8

a = 2.6518 Å, b = 2.6518 Å, c = 25.5206 Å
α = 90.00°, β = 90.00°, γ = 120.00°
Space group R-3m (No. 166, hexagonal axes)
Unique sites:
Li  0.0000  0.0000  0.0000 [3 per cell]
Fe  0.0000  0.0000  0.5000 [3 per cell]
Rh  0.0000  0.0000  0.2472 [6 per cell]


[10]
LiFe2Rh | PBEsol | optimized geometry

Computed properties:
Magnetic moment in μB per atom: 1.078
ΔE_f in eV per formula unit: 0.736

a = 3.4465 Å, b = 3.4465 Å, c = 7.7274 Å
α = 90.00°, β = 90.00°, γ = 90.00°
Space group I4/mmm (No. 139)
Unique sites:
Li  0.0000  0.0000  0.0000 [2 per cell]
Fe  0.0000  0.5000  0.2500 [4 per cell]
Rh  0.0000  0.0000  0.5000 [2 per cell]


[11]
LiFeRh | PBEsol | optimized geometry

Computed properties:
Magnetic moment in μB per atom: 1.268
ΔE_f in eV per formula unit: 2.066

a = 5.3943 Å, b = 5.3943 Å, c = 5.3943 Å
α = 90.00°, β = 90.00°, γ = 90.00°
Space group F-43m (No. 216)
Unique sites:
Li  0.0000  0.0000  0.0000 [4 per cell]
Fe  0.2500  0.2500  0.2500 [4 per cell]
Rh  0.2500  0.2500  0.7500 [4 per cell]


[12]
LiFe2Rh | PBEsol | optimized geometry

Computed properties:
Magnetic moment in μB per atom: 1.524
ΔE_f in eV per formula unit: 0.653

a = 2.9456 Å, b = 2.9456 Å, c = 5.5152 Å
α = 90.00°, β = 90.00°, γ = 90.00°
Space group P4mm (No. 99)
Unique sites:
Li  0.0000  0.0000  0.0000 [1 per cell]
Fe  0.0000  0.0000  0.5065 [1 per cell]
Fe  0.5000  0.5000  0.7479 [1 per cell]
Rh  0.5000  0.5000  0.2454 [1 per cell]


[13]
LiFeRh2 | PBEsol | optimized geometry

Computed properties:
Magnetic moment in μB per atom: 0.924
ΔE_f in eV per formula unit: 0.691
ΔE to the lowest computed polymorph in kJ per mole of atoms: 21.7

a = 3.0289 Å, b = 3.0289 Å, c = 5.4351 Å
α = 90.00°, β = 90.00°, γ = 90.00°
Space group P4mm (No. 99)
Unique sites:
Li  0.0000  0.0000  0.0000 [1 per cell]
Fe  0.5000  0.5000  0.7546 [1 per cell]
Rh  0.0000  0.0000  0.5231 [1 per cell]
Rh  0.5000  0.5000  0.2154 [1 per cell]


[14]
LiFe2Rh | PBEsol | optimized geometry

Computed properties:
Magnetic moment in μB per atom: 1.431
ΔE_f in eV per formula unit: 0.571

a = 3.5644 Å, b = 3.5644 Å, c = 3.7346 Å
α = 90.00°, β = 90.00°, γ = 90.00°
Space group P4/mmm (No. 123)
Unique sites:
Li  0.0000  0.0000  0.0000 [1 per cell]
Fe  0.0000  0.5000  0.5000 [2 per cell]
Rh  0.5000  0.5000  0.0000 [1 per cell]


[15]
LiFeRh2 | PBEsol | optimized geometry

Computed properties:
Magnetic moment in μB per atom: 0.841
ΔE_f in eV per formula unit: -0.210
ΔE to the lowest computed polymorph in kJ per mole of atoms: 0.0

a = 5.7984 Å, b = 5.7984 Å, c = 5.7984 Å
α = 90.00°, β = 90.00°, γ = 90.00°
Space group Fm-3m (No. 225)
Unique sites:
Li  0.0000  0.0000  0.0000 [4 per cell]
Fe  0.0000  0.0000  0.5000 [4 per cell]
Rh  0.2500  0.2500  0.2500 [8 per cell]


[16]
LiFeRh2 | PBEsol | optimized geometry

Computed properties:
Magnetic moment in μB per atom: 0.823
ΔE_f in eV per formula unit: -0.122
ΔE to the lowest computed polymorph in kJ per mole of atoms: 2.1

a = 4.0448 Å, b = 4.0448 Å, c = 2.9741 Å
α = 90.00°, β = 90.00°, γ = 90.00°
Space group P4/mmm (No. 123)
Unique sites:
Li  0.0000  0.0000  0.0000 [1 per cell]
Fe  0.5000  0.5000  0.0000 [1 per cell]
Rh  0.0000  0.5000  0.5000 [2 per cell]


[17]
LiFeRu2 | PBEsol | optimized geometry

Computed properties:
Magnetic moment in μB per atom: 0.577
ΔE_f in eV per formula unit: 1.562
ΔE to the lowest computed polymorph in kJ per mole of atoms: 10.3

a = 2.7668 Å, b = 4.1723 Å, c = 4.3333 Å
α = 90.00°, β = 90.00°, γ = 90.00°
Space group Pmmm (No. 47)
Unique sites:
Li  0.0000  0.0000  0.0000 [1 per cell]
Fe  0.5000  0.0000  0.5000 [1 per cell]
Ru  0.0000  0.5000  0.5000 [1 per cell]
Ru  0.5000  0.5000  0.0000 [1 per cell]


[18]
LiFeRu2 | PBEsol | optimized geometry

Computed properties:
Magnetic moment in μB per atom: 0.493
ΔE_f in eV per formula unit: 1.234
ΔE to the lowest computed polymorph in kJ per mole of atoms: 2.3

a = 2.8990 Å, b = 2.8990 Å, c = 5.6222 Å
α = 90.00°, β = 90.00°, γ = 90.00°
Space group P4/mmm (No. 123)
Unique sites:
Li  0.0000  0.0000  0.0000 [1 per cell]
Fe  0.0000  0.0000  0.5000 [1 per cell]
Ru  0.5000  0.5000  0.2456 [2 per cell]


[19]
LiFeRu2 | PBEsol | optimized geometry

Computed properties:
Magnetic moment in μB per atom: 0.530
ΔE_f in eV per formula unit: 1.597
ΔE to the lowest computed polymorph in kJ per mole of atoms: 11.1

a = 2.7156 Å, b = 4.3742 Å, c = 8.8568 Å
α = 90.00°, β = 90.00°, γ = 90.00°
Space group Cmm2 (No. 35)
Unique sites:
Li  0.0000  0.0000  0.0000 [2 per cell]
Fe  0.0000  0.5000  0.2532 [2 per cell]
Ru  0.0000  0.0000  0.4894 [2 per cell]
Ru  0.0000  0.5000  0.7428 [2 per cell]


[20]
LiFeRu2 | PBEsol | optimized geometry

Computed properties:
Magnetic moment in μB per atom: 0.664
ΔE_f in eV per formula unit: 1.170
ΔE to the lowest computed polymorph in kJ per mole of atoms: 0.8

a = 2.7529 Å, b = 4.3308 Å, c = 8.6866 Å
α = 90.00°, β = 90.00°, γ = 90.00°
Space group Cmmm (No. 65)
Unique sites:
Li  0.0000  0.0000  0.0000 [2 per cell]
Fe  0.0000  0.0000  0.5000 [2 per cell]
Ru  0.0000  0.5000  0.2617 [4 per cell]